A plane-wave DFT calculation with PBE was carried out for a relaxed structure of CdInB2Rh.

E_tot   -16.428 eV for the cell shown
Crystal system   tetragonal
D(E_F)   2.47 states/eV/cell
Volume   92.3 Å³ per cell
Formation energy from the elements   1.586 eV/atom

Cell and atoms, written as CIF:
```
data_CdInB2Rh
_space_group_name_H-M_alt 'P 1'
_space_group_IT_number 1
_space_group_name_Hall 'P 1'
_cell_length_a 4.150
_cell_length_b 5.360
_cell_length_c 4.150
_cell_angle_alpha 90.00
_cell_angle_beta 90.00
_cell_angle_gamma 90.00
loop_
_atom_site_label
_atom_site_fract_x
_atom_site_fract_y
_atom_site_fract_z
B1 0.000 0.000 0.500
B2 0.500 0.000 0.000
Cd1 0.000 0.000 0.000
Rh1 0.000 0.500 0.000
In1 0.500 0.500 0.500
```

---

A plane-wave DFT calculation with PBE was carried out for a relaxed structure of CdInBRu2.

E_tot   -27.784 eV for the cell shown
Crystal system   tetragonal
D(E_F)   2.80 states/eV/cell
Volume   77.7 Å³ per cell
Formation energy from the elements   0.220 eV/atom

Cell and atoms, written as CIF:
```
data_CdInBRu2
_space_group_name_H-M_alt 'P 1'
_space_group_IT_number 1
_space_group_name_Hall 'P 1'
_cell_length_a 4.219
_cell_length_b 4.364
_cell_length_c 4.219
_cell_angle_alpha 90.00
_cell_angle_beta 90.00
_cell_angle_gamma 90.00
loop_
_atom_site_label
_atom_site_fract_x
_atom_site_fract_y
_atom_site_fract_z
Ru1 0.000 0.000 0.500
Ru2 0.500 0.000 0.000
B1 0.000 0.000 0.000
Cd1 0.000 0.500 0.000
In1 0.500 0.500 0.500
```

---

A plane-wave DFT calculation with PBE was carried out for a relaxed structure of YCdInB2.

E_tot   -17.085 eV for the cell shown
Crystal system   tetragonal
D(E_F)   2.92 states/eV/cell
Volume   108.1 Å³ per cell
Formation energy from the elements   1.278 eV/atom

Cell and atoms, written as CIF:
```
data_YCdInB2
_space_group_name_H-M_alt 'P 1'
_space_group_IT_number 1
_space_group_name_Hall 'P 1'
_cell_length_a 4.479
_cell_length_b 5.388
_cell_length_c 4.479
_cell_angle_alpha 90.00
_cell_angle_beta 90.00
_cell_angle_gamma 90.00
loop_
_atom_site_label
_atom_site_fract_x
_atom_site_fract_y
_atom_site_fract_z
Y1 0.500 0.500 0.500
B1 0.000 0.000 0.500
B2 0.500 0.000 0.000
Cd1 0.000 0.500 0.000
In1 0.000 0.000 0.000
```